[1]
VASP calculation (PBE) on an optimized crystal structure of SrNp2GeO8.

Unit cell a=4.950 b=4.950 c=6.904 alpha=90.00 beta=90.00 gamma=92.96
Positions (direct):
Sr 0.000 0.000 0.000
Np 0.500 0.500 0.262
Np 0.500 0.500 0.738
Ge 0.000 0.000 0.500
O 0.195 0.195 0.300
O 0.195 0.195 0.700
O 0.290 0.710 0.500
O 0.331 0.669 0.000
O 0.669 0.331 0.000
O 0.710 0.290 0.500
O 0.805 0.805 0.300
O 0.805 0.805 0.700

The space-group type is Cmmm (65). For the calculated volume, the calculation gives 168.9 Å³ per cell. For the total magnetic moment, the calculation gives 0.333 μB per atom. As for the calculated total energy: -8.53 eV per atom.

---

[2]
VASP calculation (PBE) on an optimized crystal structure of Pm7GaGe2.

Unit cell a=5.165 b=5.165 c=12.610 alpha=90.00 beta=90.00 gamma=120.00
Positions (direct):
Pm 0.000 0.000 0.000
Pm 0.000 0.000 0.265
Pm 0.000 0.000 0.536
Pm 0.333 0.667 0.146
Pm 0.333 0.667 0.684
Pm 0.667 0.333 0.390
Pm 0.667 0.333 0.847
Ga 0.333 0.667 0.417
Ge 0.000 0.000 0.768
Ge 0.667 0.333 0.110

The space-group type is P3m1 (156). For the calculated volume, the calculation gives 291.3 Å³ per cell. For the total magnetic moment, the calculation gives 0.009 μB per atom. As for the calculated total energy: -4.89 eV per atom.

---

[3]
VASP calculation (PBE) on an optimized crystal structure of KBeSe.

Unit cell a=3.801 b=3.801 c=5.851 alpha=90.00 beta=90.00 gamma=120.00
Positions (direct):
K 0.000 0.000 0.000
Be 0.333 0.667 0.443
Se 0.667 0.333 0.544

The space-group type is P3m1 (156). The energy above the most stable polymorph in this dataset comes out at 277 meV/atom. For the calculated volume, the calculation gives 73.2 Å³ per cell. For the total magnetic moment, the calculation gives 0.285 μB per atom.